<a>
Here is SrC after structural relaxation from the Alexandria database. Energies are from GGA-PBE.

```
8
Lattice="0.0000 4.7301 5.8090 4.2184 0.0000 5.8090 4.2184 4.7301 0.0000" Properties=species:S:1:pos:R:3 pbc="T T T"
Sr 3.1638 3.5476 1.3328
Sr 5.2731 5.9127 4.2374
Sr 3.1638 3.5476 7.3807
Sr 5.2731 5.9127 10.2852
C 1.0546 0.5447 1.4523
C 1.0546 1.8204 1.4523
C 7.3823 7.6399 10.1658
C 7.3823 8.9156 10.1658
```

Computed properties:
The density of states at the Fermi level is 0.7414 states/eV per atom.

=====

<b>
Here is SrC after structural relaxation from the Alexandria database. Energies are from GGA-PBE.

```
6
Lattice="5.6630 0.0000 0.0000 0.0000 5.6630 0.0000 0.0000 0.0000 5.3903" Properties=species:S:1:pos:R:3 pbc="T T T"
Sr 0.0000 0.0000 0.0000
Sr 0.0000 2.8315 2.6951
Sr 2.8315 0.0000 2.6951
C 0.0000 0.0000 2.6951
C 0.0000 2.8315 0.0000
C 2.8315 0.0000 0.0000
```

Computed properties:
The density of states at the Fermi level is 0.5329 states/eV per atom.

=====

Which structure loses on stability? <b> does.

=====

<a>
Here is SrC after structural relaxation from the Alexandria database. Energies are from GGA-PBE.

```
8
Lattice="6.1395 0.0000 0.0000 0.0000 6.1395 0.0000 0.0000 0.0000 6.1395" Properties=species:S:1:pos:R:3 pbc="T T T"
Sr 0.0000 0.0000 0.0000
Sr 0.0000 3.0698 3.0698
Sr 3.0698 0.0000 3.0698
Sr 3.0698 3.0698 0.0000
C 1.5349 1.5349 4.6046
C 1.5349 4.6046 1.5349
C 4.6046 1.5349 1.5349
C 4.6046 4.6046 4.6046
```

Computed properties:
The density of states at the Fermi level is 0.1431 states/eV per atom.

=====

<b>
Here is SrC after structural relaxation from the Alexandria database. Energies are from GGA-PBE.

```
12
Lattice="10.1425 0.0000 0.0000 -5.0712 8.7836 0.0000 0.0000 0.0000 2.9232" Properties=species:S:1:pos:R:3 pbc="T T T"
Sr -1.9115 6.8200 0.7308
Sr 0.1207 3.7183 0.7308
Sr 3.2805 1.7546 2.1924
Sr 1.7908 7.0291 0.7308
Sr 4.9505 5.0654 2.1924
Sr 6.9827 1.9637 2.1924
C -2.4635 4.7334 2.1924
C 2.2038 4.2835 2.1924
C 4.8115 0.2332 0.7308
C 0.2597 8.5504 2.1924
C 2.8675 4.5001 0.7308
C 7.5347 4.0503 0.7308
```

Computed properties:
The density of states at the Fermi level is 0.5588 states/eV per atom.

=====

Which structure loses on stability? <a> does.